[1]
Entry from the Alexandria database: crystalline BeNi2Mo at its relaxed geometry (GGA-PBE).

Cell lengths 4.461, 4.461, 4.461 Å; angles 133.56, 133.56, 67.78 degrees
Fractional positions:
Be  0.250  0.750  0.500
Mo  0.750  0.250  0.500
Ni  0.000  0.000  0.000
Ni  0.500  0.500  0.000

Properties
Calculated formation energy   -0.048 eV per atom
Size of the total moment   0.000 μB per cell



[2]
Entry from the Alexandria database: crystalline BeNiMo at its relaxed geometry (GGA-PBE).

Cell lengths 4.764, 3.964, 4.543 Å; angles 69.78, 114.73, 113.68 degrees
Fractional positions:
Mo  0.079  0.009  0.653
Be  0.619  0.995  0.116
Ni  0.884  0.598  0.187
Mo  0.261  0.328  0.126
Ni  0.456  0.738  0.593
Be  0.721  0.341  0.664

Properties
Calculated formation energy   -0.042 eV per atom
Relative energy among the computed polymorphs   0.651 eV per formula unit
Size of the total moment   0.000 μB per cell



[3]
Entry from the Alexandria database: crystalline BeNi2Mo at its relaxed geometry (GGA-PBE).

Cell lengths 3.745, 3.524, 3.524 Å; angles 90.00, 90.00, 90.00 degrees
Fractional positions:
Ni  0.000  0.500  0.500
Ni  0.000  0.000  0.000
Mo  0.500  0.000  0.500
Be  0.500  0.500  0.000

Properties
Calculated formation energy   0.091 eV per atom
Size of the total moment   1.165 μB per cell